Compound: Ce2Zn15Tc2
Source: Alexandria via LeMat-Bulk
Functional: PBE
Structure: optimized geometry

Computed properties:
Energy relative to the elements   -3.2 eV per formula unit
E_tot   -2.888 eV per atom
DOS at the Fermi energy   17.44 states/eV/cell
Density   7.9 g cm⁻³

Cell lengths 6.7873, 6.7873, 6.7873 Å; angles 83.90, 83.90, 83.90 degrees
Site moments in Bohr magnetons follow the coordinates.
Fractional coordinates of all 19 atoms:
Ce: 0.3371 0.3371 0.3371  0.51
Ce: 0.6629 0.6629 0.6629  0.51
Zn: 0.0000 0.5000 0.0000  0.00
Zn: 0.0000 0.0000 0.5000  0.00
Zn: 0.5000 0.0000 0.0000  0.00
Zn: 0.7116 0.0000 0.2884  0.00
Zn: 0.2884 0.7116 0.0000  0.00
Zn: 0.0000 0.2884 0.7116  0.00
Zn: 0.7116 0.2884 0.0000  0.00
Zn: 0.0000 0.7116 0.2884  0.00
Zn: 0.2884 0.0000 0.7116  0.00
Zn: 0.6507 0.1513 0.6507  0.00
Zn: 0.6507 0.6507 0.1513  0.00
Zn: 0.1513 0.6507 0.6507  0.00
Zn: 0.3493 0.8487 0.3493  0.00
Zn: 0.3493 0.3493 0.8487  0.00
Zn: 0.8487 0.3493 0.3493  0.00
Tc: 0.0950 0.0950 0.0950  0.09
Tc: 0.9050 0.9050 0.9050  0.09